1.
Co3Ir2Pt2: relaxed, GGA-PBE.

## Properties
final energy: -51.19 eV per cell
crystal system: monoclinic
density of states at the Fermi level: 1.331 states/eV per atom
V: 94.22 Å³/f.u.
energy relative to the elements: -0.01 eV/atom
magnetization: 5.94 μB per cell

CIF file:
```
data_Co3Ir2Pt2
_space_group_name_H-M_alt 'P 1'
_space_group_IT_number 1
_space_group_name_Hall 'P 1'
_cell_length_a 4.596
_cell_length_b 4.596
_cell_length_c 6.006
_cell_angle_alpha 98.03
_cell_angle_beta 98.03
_cell_angle_gamma 48.73
loop_
_atom_site_label
_atom_site_type_symbol
_atom_site_fract_x
_atom_site_fract_y
_atom_site_fract_z
Co1 Co 0.000 0.000 0.000
Co2 Co 0.430 0.430 0.294
Co3 Co 0.570 0.570 0.706
Ir1 Ir 0.137 0.137 0.426
Ir2 Ir 0.863 0.863 0.574
Pt1 Pt 0.290 0.290 0.860
Pt2 Pt 0.710 0.710 0.140
```

=====

2.
Co2IrPt: relaxed, GGA-PBE.

## Properties
final energy: -29.00 eV per cell
crystal system: orthorhombic
density of states at the Fermi level: 1.408 states/eV per atom
V: 53.06 Å³/f.u.
energy relative to the elements: 0.03 eV/atom
magnetization: 4.21 μB per cell

CIF file:
```
data_Co2IrPt
_space_group_name_H-M_alt 'P 1'
_space_group_IT_number 1
_space_group_name_Hall 'P 1'
_cell_length_a 2.674
_cell_length_b 3.713
_cell_length_c 5.344
_cell_angle_alpha 90.00
_cell_angle_beta 90.00
_cell_angle_gamma 90.00
loop_
_atom_site_label
_atom_site_type_symbol
_atom_site_fract_x
_atom_site_fract_y
_atom_site_fract_z
Co1 Co 0.000 0.000 0.000
Co2 Co 0.500 0.500 0.239
Ir1 Ir 0.000 0.000 0.467
Pt1 Pt 0.500 0.500 0.753
```

=====

3.
CoIrPt: relaxed, GGA-PBE.

## Properties
final energy: -21.95 eV per cell
crystal system: trigonal
density of states at the Fermi level: 1.429 states/eV per atom
V: 41.82 Å³/f.u.
energy relative to the elements: 0.02 eV/atom
magnetization: 2.17 μB per cell

CIF file:
```
data_CoIrPt
_space_group_name_H-M_alt 'P 1'
_space_group_IT_number 1
_space_group_name_Hall 'P 1'
_cell_length_a 2.718
_cell_length_b 2.718
_cell_length_c 6.537
_cell_angle_alpha 90.00
_cell_angle_beta 90.00
_cell_angle_gamma 120.00
loop_
_atom_site_label
_atom_site_type_symbol
_atom_site_fract_x
_atom_site_fract_y
_atom_site_fract_z
Co1 Co 0.000 0.000 0.000
Ir1 Ir 0.667 0.333 0.310
Pt1 Pt 0.333 0.667 0.673
```

=====

4.
Co2IrPt: relaxed, GGA-PBE.

## Properties
final energy: -29.05 eV per cell
crystal system: monoclinic
density of states at the Fermi level: 1.295 states/eV per atom
V: 53.56 Å³/f.u.
energy relative to the elements: 0.02 eV/atom
magnetization: 4.27 μB per cell

CIF file:
```
data_Co2IrPt
_space_group_name_H-M_alt 'P 1'
_space_group_IT_number 1
_space_group_name_Hall 'P 1'
_cell_length_a 4.560
_cell_length_b 4.560
_cell_length_c 4.657
_cell_angle_alpha 99.75
_cell_angle_beta 99.75
_cell_angle_gamma 34.19
loop_
_atom_site_label
_atom_site_type_symbol
_atom_site_fract_x
_atom_site_fract_y
_atom_site_fract_z
Co1 Co 0.248 0.248 0.236
Co2 Co 0.752 0.752 0.764
Ir1 Ir 0.500 0.500 0.000
Pt1 Pt 0.000 0.000 0.500
```

=====

5.
Co2IrPt6: relaxed, GGA-PBE.

## Properties
final energy: -58.18 eV per cell
crystal system: monoclinic
density of states at the Fermi level: 1.311 states/eV per atom
V: 137.06 Å³/f.u.
energy relative to the elements: 0.13 eV/atom
magnetization: 5.46 μB per cell

CIF file:
```
data_Co2IrPt6
_space_group_name_H-M_alt 'P 1'
_space_group_IT_number 1
_space_group_name_Hall 'P 1'
_cell_length_a 7.001
_cell_length_b 7.001
_cell_length_c 9.307
_cell_angle_alpha 126.99
_cell_angle_beta 126.99
_cell_angle_gamma 22.36
loop_
_atom_site_label
_atom_site_type_symbol
_atom_site_fract_x
_atom_site_fract_y
_atom_site_fract_z
Co1 Co 0.099 0.099 0.033
Co2 Co 0.901 0.901 0.967
Ir1 Ir 0.000 0.000 0.500
Pt1 Pt 0.079 0.079 0.298
Pt2 Pt 0.242 0.242 0.677
Pt3 Pt 0.352 0.352 0.165
Pt4 Pt 0.648 0.648 0.835
Pt5 Pt 0.758 0.758 0.323
Pt6 Pt 0.921 0.921 0.702
```

=====

6.
Co2Ir2Pt: relaxed, GGA-PBE.

## Properties
final energy: -73.96 eV per cell
crystal system: tetragonal
density of states at the Fermi level: 1.205 states/eV per atom
V: 69.91 Å³/f.u.
energy relative to the elements: 0.20 eV/atom
magnetization: 8.56 μB per cell

CIF file:
```
data_Co2Ir2Pt
_space_group_name_H-M_alt 'P 1'
_space_group_IT_number 1
_space_group_name_Hall 'P 1'
_cell_length_a 7.179
_cell_length_b 7.179
_cell_length_c 2.713
_cell_angle_alpha 90.00
_cell_angle_beta 90.00
_cell_angle_gamma 90.00
loop_
_atom_site_label
_atom_site_type_symbol
_atom_site_fract_x
_atom_site_fract_y
_atom_site_fract_z
Co1 Co 0.168 0.332 0.000
Co2 Co 0.332 0.832 0.000
Co3 Co 0.668 0.168 0.000
Co4 Co 0.832 0.668 0.000
Ir1 Ir 0.130 0.630 0.500
Ir2 Ir 0.370 0.130 0.500
Ir3 Ir 0.630 0.870 0.500
Ir4 Ir 0.870 0.370 0.500
Pt1 Pt 0.000 0.000 0.500
Pt2 Pt 0.500 0.500 0.500
```

=====

7.
Co2IrPt: relaxed, GGA-PBE.

## Properties
final energy: -29.04 eV per cell
crystal system: tetragonal
density of states at the Fermi level: 1.606 states/eV per atom
V: 52.87 Å³/f.u.
energy relative to the elements: 0.02 eV/atom
magnetization: 4.43 μB per cell

CIF file:
```
data_Co2IrPt
_space_group_name_H-M_alt 'P 1'
_space_group_IT_number 1
_space_group_name_Hall 'P 1'
_cell_length_a 3.805
_cell_length_b 3.805
_cell_length_c 3.651
_cell_angle_alpha 90.00
_cell_angle_beta 90.00
_cell_angle_gamma 90.00
loop_
_atom_site_label
_atom_site_type_symbol
_atom_site_fract_x
_atom_site_fract_y
_atom_site_fract_z
Co1 Co 0.000 0.500 0.000
Co2 Co 0.500 0.000 0.000
Ir1 Ir 0.000 0.000 0.500
Pt1 Pt 0.500 0.500 0.500
```

=====

8.
CoIrPt: relaxed, GGA-PBE.

## Properties
final energy: -21.88 eV per cell
crystal system: orthorhombic
density of states at the Fermi level: 1.410 states/eV per atom
V: 41.60 Å³/f.u.
energy relative to the elements: 0.04 eV/atom
magnetization: 1.99 μB per cell

CIF file:
```
data_CoIrPt
_space_group_name_H-M_alt 'P 1'
_space_group_IT_number 1
_space_group_name_Hall 'P 1'
_cell_length_a 4.705
_cell_length_b 4.705
_cell_length_c 4.705
_cell_angle_alpha 146.56
_cell_angle_beta 133.04
_cell_angle_gamma 58.87
loop_
_atom_site_label
_atom_site_type_symbol
_atom_site_fract_x
_atom_site_fract_y
_atom_site_fract_z
Co1 Co 0.000 0.000 0.000
Ir1 Ir 0.651 0.651 0.000
Pt1 Pt 0.328 0.328 0.000
```